# TbPm2SmDy6 | the Alexandria database | PBE | relaxed
# Size of the total moment   0.0 μB per cell
# Mass density   7.988 g/cm3
# Formation enthalpy at 0 K   11 kJ per mole of atoms
data_TbPm2SmDy6
_space_group_name_H-M_alt 'C 1 2/c 1'
_space_group_IT_number 15
_cell_length_a 9.047
_cell_length_b 15.078
_cell_length_c 9.708
_cell_angle_alpha 90.00
_cell_angle_beta 98.73
_cell_angle_gamma 90.00
loop_
_space_group_symop_operation_xyz
'x,y,z'
'-x,-y,-z'
'-x,y,-z+1/2'
'x,-y,z+1/2'
'x+1/2,y+1/2,z'
'-x+1/2,-y+1/2,-z'
'-x+1/2,y+1/2,-z+1/2'
'x+1/2,-y+1/2,z+1/2'
loop_
_atom_site_label
_atom_site_type_symbol
_atom_site_fract_x
_atom_site_fract_y
_atom_site_fract_z
Tb1 Tb 0.000 0.093 0.250
Pm1 Pm 0.245 0.449 0.043
Sm1 Sm 0.000 0.481 0.750
Dy1 Dy 0.067 0.310 0.443
Dy2 Dy 0.100 0.106 0.620
Dy3 Dy 0.203 0.276 0.814